Here is Pu2AgP after structural relaxation from Alexandria via LeMat-Bulk. Energies are from PBE.

Values from the calculation:
Density of states at the Fermi level   4.788 states/eV/atom
Symmetry   R-3m
Relative energy among the computed polymorphs   126 meV per atom
ΔH_f (0 K)   -0.37 eV/atom

Geometry as CIF:
```
data_Pu2AgP
_chemical_formula_sum 'Pu2 Ag1 P1'
_cell_length_a 3.8417
_cell_length_b 3.8417
_cell_length_c 8.2873
_cell_angle_alpha 76.60
_cell_angle_beta 76.60
_cell_angle_gamma 60.00
_space_group_name_H-M_alt 'P 1'
_space_group_IT_number 1
_space_group_name_Hall 'P 1'
loop_
_atom_site_label
_atom_site_type_symbol
_atom_site_fract_x
_atom_site_fract_y
_atom_site_fract_z
_atom_site_occupancy
P1 P 0.0000 0.0000 0.0000 1
Ag1 Ag 0.5000 0.5000 0.5000 1
Pu1 Pu 0.2627 0.2627 0.2119 1
Pu2 Pu 0.7373 0.7373 0.7881 1
```

Here is LiGdAu after structural relaxation from Alexandria via LeMat-Bulk. Energies are from PBE.

Values from the calculation:
Density of states at the Fermi level   1.265 states/eV/atom
Symmetry   F-43m
Relative energy among the computed polymorphs   93 meV per atom
ΔH_f (0 K)   -0.42 eV/atom

Geometry as CIF:
```
data_LiGdAu
_chemical_formula_sum 'Li1 Gd1 Au1'
_cell_length_a 4.7832
_cell_length_b 4.7832
_cell_length_c 4.7832
_cell_angle_alpha 60.00
_cell_angle_beta 60.00
_cell_angle_gamma 60.00
_space_group_name_H-M_alt 'P 1'
_space_group_IT_number 1
_space_group_name_Hall 'P 1'
loop_
_atom_site_label
_atom_site_type_symbol
_atom_site_fract_x
_atom_site_fract_y
_atom_site_fract_z
_atom_site_occupancy
Gd1 Gd 0.0000 0.0000 0.0000 1
Au1 Au 0.2500 0.2500 0.2500 1
Li1 Li 0.5000 0.5000 0.5000 1
```

Here is Lu2ThRh after structural relaxation from Alexandria via LeMat-Bulk. Energies are from PBE.

Values from the calculation:
Density of states at the Fermi level   0.979 states/eV/atom
Symmetry   P4/mmm
ΔH_f (0 K)   -0.48 eV/atom

Geometry as CIF:
```
data_Lu2ThRh
_chemical_formula_sum 'Lu2 Th1 Rh1'
_cell_length_a 3.4267
_cell_length_b 3.4267
_cell_length_c 8.4732
_cell_angle_alpha 90.00
_cell_angle_beta 90.00
_cell_angle_gamma 90.00
_space_group_name_H-M_alt 'P 1'
_space_group_IT_number 1
_space_group_name_Hall 'P 1'
loop_
_atom_site_label
_atom_site_type_symbol
_atom_site_fract_x
_atom_site_fract_y
_atom_site_fract_z
_atom_site_occupancy
Lu1 Lu 0.0000 0.0000 0.8091 1
Lu2 Lu 0.0000 0.0000 0.1909 1
Rh1 Rh 0.5000 0.5000 0.0000 1
Th1 Th 0.5000 0.5000 0.5000 1
```

Here is NaPtC2 after structural relaxation from Alexandria via LeMat-Bulk. Energies are from PBE.

Values from the calculation:
Density of states at the Fermi level   0.495 states/eV/atom
Symmetry   I-42d
Relative energy among the computed polymorphs   0 meV per atom
ΔH_f (0 K)   1.19 eV/atom

Geometry as CIF:
```
data_NaPtC2
_chemical_formula_sum 'Na2 Pt2 C4'
_cell_length_a 5.4011
_cell_length_b 5.4011
_cell_length_c 5.9732
_cell_angle_alpha 63.12
_cell_angle_beta 63.12
_cell_angle_gamma 90.00
_space_group_name_H-M_alt 'P 1'
_space_group_IT_number 1
_space_group_name_Hall 'P 1'
loop_
_atom_site_label
_atom_site_type_symbol
_atom_site_fract_x
_atom_site_fract_y
_atom_site_fract_z
_atom_site_occupancy
Na1 Na 0.5000 0.5000 0.0000 1
Na2 Na 0.2500 0.7500 0.5000 1
C1 C 0.7268 0.1250 0.2500 1
C2 C 0.0232 0.6250 0.2500 1
C3 C 0.3750 0.2732 0.7500 1
C4 C 0.8750 0.9768 0.7500 1
Pt1 Pt 0.0000 0.0000 0.0000 1
Pt2 Pt 0.7500 0.2500 0.5000 1
```

Here is DyYHf after structural relaxation from Alexandria via LeMat-Bulk. Energies are from PBE.

Values from the calculation:
Density of states at the Fermi level   1.447 states/eV/atom
Symmetry   I4mm
Relative energy among the computed polymorphs   0 meV per atom
ΔH_f (0 K)   0.12 eV/atom

Geometry as CIF:
```
data_DyYHf
_chemical_formula_sum 'Dy1 Y1 Hf1'
_cell_length_a 3.3731
_cell_length_b 3.3731
_cell_length_c 7.7874
_cell_angle_alpha 102.51
_cell_angle_beta 102.51
_cell_angle_gamma 90.00
_space_group_name_H-M_alt 'P 1'
_space_group_IT_number 1
_space_group_name_Hall 'P 1'
loop_
_atom_site_label
_atom_site_type_symbol
_atom_site_fract_x
_atom_site_fract_y
_atom_site_fract_z
_atom_site_occupancy
Y1 Y 0.0116 0.0116 0.0233 1
Hf1 Hf 0.6676 0.6676 0.3352 1
Dy1 Dy 0.3208 0.3208 0.6415 1
```

Here is Ta3BeAg after structural relaxation from Alexandria via LeMat-Bulk. Energies are from PBE.

Values from the calculation:
Density of states at the Fermi level   1.973 states/eV/atom
Symmetry   Pm-3m
Relative energy among the computed polymorphs   1664 meV per atom
ΔH_f (0 K)   2.31 eV/atom

Geometry as CIF:
```
data_Ta3BeAg
_chemical_formula_sum 'Ta3 Be1 Ag1'
_cell_length_a 4.8685
_cell_length_b 4.8685
_cell_length_c 4.8685
_cell_angle_alpha 90.00
_cell_angle_beta 90.00
_cell_angle_gamma 90.00
_space_group_name_H-M_alt 'P 1'
_space_group_IT_number 1
_space_group_name_Hall 'P 1'
loop_
_atom_site_label
_atom_site_type_symbol
_atom_site_fract_x
_atom_site_fract_y
_atom_site_fract_z
_atom_site_occupancy
Be1 Be 0.5000 0.5000 0.5000 1
Ag1 Ag 0.0000 0.0000 0.0000 1
Ta1 Ta 0.0000 0.5000 0.0000 1
Ta2 Ta 0.0000 0.0000 0.5000 1
Ta3 Ta 0.5000 0.0000 0.0000 1
```

Here is ReRhSe2 after structural relaxation from Alexandria via LeMat-Bulk. Energies are from PBE.

Values from the calculation:
E_form (uncorrected)   10.2 kJ/mol of atoms
Density of states at the Fermi level   0.836 states/eV/atom
Symmetry   Pmm2
Relative energy among the computed polymorphs   75 meV per atom

Geometry as CIF:
```
data_ReRhSe2
_chemical_formula_sum 'Re1 Rh1 Se2'
_cell_length_a 3.1223
_cell_length_b 3.7811
_cell_length_c 6.4847
_cell_angle_alpha 90.00
_cell_angle_beta 90.00
_cell_angle_gamma 90.00
_space_group_name_H-M_alt 'P 1'
_space_group_IT_number 1
_space_group_name_Hall 'P 1'
loop_
_atom_site_label
_atom_site_type_symbol
_atom_site_fract_x
_atom_site_fract_y
_atom_site_fract_z
_atom_site_occupancy
Re1 Re 0.0000 0.0000 0.5188 1
Rh1 Rh 0.5000 0.5000 0.7360 1
Se1 Se 0.0000 0.0000 0.8873 1
Se2 Se 0.5000 0.5000 0.3579 1
```

Here is Ac4SbOsBr2 after structural relaxation from Alexandria via LeMat-Bulk. Energies are from PBE.

Values from the calculation:
E_form (uncorrected)   -94.7 kJ/mol of atoms
Density of states at the Fermi level   0.628 states/eV/atom
Symmetry   P2/m

Geometry as CIF:
```
data_Ac4SbOsBr2
_chemical_formula_sum 'Ac4 Sb1 Os1 Br2'
_cell_length_a 4.4597
_cell_length_b 8.2967
_cell_length_c 8.3154
_cell_angle_alpha 106.73
_cell_angle_beta 90.00
_cell_angle_gamma 90.00
_space_group_name_H-M_alt 'P 1'
_space_group_IT_number 1
_space_group_name_Hall 'P 1'
loop_
_atom_site_label
_atom_site_type_symbol
_atom_site_fract_x
_atom_site_fract_y
_atom_site_fract_z
_atom_site_occupancy
Ac1 Ac 0.5000 0.2726 0.2077 1
Ac2 Ac 0.5000 0.7274 0.7923 1
Ac3 Ac 0.0000 0.2943 0.7990 1
Ac4 Ac 0.0000 0.7057 0.2010 1
Sb1 Sb 0.0000 0.0000 0.0000 1
Os1 Os 0.5000 0.5000 0.0000 1
Br1 Br 0.5000 0.0000 0.5000 1
Br2 Br 0.0000 0.5000 0.5000 1
```